Density functional theory data (PBE-GGA) for a relaxed structure of SrMg2Ge.

```
data_SrMg2Ge
_symmetry_space_group_name_H-M 'P 4/n m m'
_symmetry_Int_Tables_number 129
_cell_length_a 4.4708
_cell_length_b 4.4708
_cell_length_c 10.6860
_cell_angle_alpha 90.00
_cell_angle_beta 90.00
_cell_angle_gamma 90.00
loop_
_symmetry_equiv_pos_as_xyz
'x,y,z'
'-x,-y,-z'
'-y+1/2,x,z'
'y+1/2,-x,-z'
'-x+1/2,-y+1/2,z'
'x+1/2,y+1/2,-z'
'y,-x+1/2,z'
'-y,x+1/2,-z'
'x+1/2,-y,-z'
'-x+1/2,y,z'
'-y,-x,-z'
'y,x,z'
'-x,y+1/2,-z'
'x,-y+1/2,z'
'y+1/2,x+1/2,-z'
'-y+1/2,-x+1/2,z'
loop_
_atom_site_label
_atom_site_type_symbol
_atom_site_fract_x
_atom_site_fract_y
_atom_site_fract_z
Sr1 Sr 0.2500 0.2500 0.2480
Mg1 Mg 0.2500 0.2500 0.9292
Mg2 Mg 0.2500 0.7500 0.5000
Ge1 Ge 0.2500 0.2500 0.6591
```

Properties
- Total energy: -2.722 eV/atom
- Total moment: 0.00 μB/atom